DFT (GGA+U) results for crystalline MnPdSe2O8 at its relaxed geometry.

## Properties
* size of the total moment: 2.97 μB/cell
* E_tot: -5.52 eV per atom

Lattice parameters (Å, degrees): 5.9744 5.9744 5.4915 90.00 90.00 120.00
Closest atoms and distances in Å follow each position.
Sites, in units of the cell vectors:
Mn  0.0000  0.0000  0.0000  6 O 1.97
Pd  0.0000  0.0000  0.5000  6 O 2.04
Se  0.3333  0.6667  0.2226  1 O 1.62
Se  0.6667  0.3333  0.7774  1 O 1.62
O  0.1407  0.2815  0.2404  1 Mn 1.97, 1 Se 2.00, 1 Pd 2.04
O  0.1407  0.8593  0.2404  1 Mn 1.97, 1 Se 2.00, 1 Pd 2.04
O  0.2815  0.1407  0.7596  1 Mn 1.97, 1 Se 2.00, 1 Pd 2.04
O  0.3333  0.6667  0.9267  1 Se 1.62
O  0.6667  0.3333  0.0733  1 Se 1.62
O  0.7185  0.8593  0.2404  1 Mn 1.97, 1 Se 2.00, 1 Pd 2.04
O  0.8593  0.1407  0.7596  1 Mn 1.97, 1 Se 2.00, 1 Pd 2.04
O  0.8593  0.7185  0.7596  1 Mn 1.97, 1 Se 2.00, 1 Pd 2.04